KSrPb2 | the Alexandria database | PBE | relaxed; relative energy among the computed polymorphs = 0.20 eV/f.u.; ΔH_f (0 K) = -0.262 eV per atom; density = 6.51 g cm⁻³
1.0
7.377 0.000 0.000
0.000 10.334 0.000
0.000 0.000 3.622
K Sr Pb
2 2 4
direct
0.000 0.000 0.000
0.500 0.500 0.000
0.000 0.500 0.000
0.500 0.000 0.000
0.250 0.250 0.500
0.250 0.750 0.500
0.750 0.250 0.500
0.750 0.750 0.500